# 1
KIn2Pb (PBE-GGA, optimized geometry); crystal system = orthorhombic; space-group type = Pmmm, No. 47
1.0
3.707 0.000 0.000
0.000 4.411 0.000
0.000 0.000 8.095
In K Pb
2 1 1
Direct
0.000 0.000 0.953 In
0.000 0.000 0.547 In
0.500 0.500 0.250 K
0.500 0.500 0.750 Pb

---

# 2
KIn3Pb3 (PBE-GGA, optimized geometry); crystal system = cubic; space-group type = Fm-3m, No. 225
1.0
9.017 0.000 5.206
3.006 8.502 5.206
0.000 0.000 10.412
Pb K In
6 2 6
Direct
0.346 0.346 0.654 Pb
0.654 0.654 0.346 Pb
0.654 0.346 0.346 Pb
0.346 0.654 0.346 Pb
0.346 0.654 0.654 Pb
0.654 0.346 0.654 Pb
0.250 0.250 0.250 K
0.750 0.750 0.750 K
0.854 0.146 0.146 In
0.146 0.146 0.854 In
0.146 0.854 0.854 In
0.854 0.854 0.146 In
0.146 0.854 0.146 In
0.854 0.146 0.854 In

---

# 3
KIn4Pb6 (PBE-GGA, optimized geometry); crystal system = hexagonal; space-group type = P-6m2, No. 187
1.0
4.905 0.000 0.000
0.000 9.237 0.000
0.000 -4.618 7.999
In Pb K
4 6 1
Direct
0.500 0.403 0.202 In
0.500 0.798 0.597 In
0.500 0.798 0.202 In
0.000 0.333 0.667 In
0.500 0.597 0.799 Pb
0.000 0.531 0.469 Pb
0.500 0.201 0.403 Pb
0.000 0.531 0.062 Pb
0.000 0.938 0.469 Pb
0.500 0.201 0.799 Pb
0.000 0.000 0.000 K

---

# 4
KIn2Pb (PBE-GGA, optimized geometry); crystal system = monoclinic; space-group type = Cm, No. 8
1.0
-0.953 -5.268 -0.187
-0.526 -4.228 3.248
-7.435 0.323 0.828
In Pb K
2 1 1
Direct
0.000 0.000 0.989 In
0.744 0.744 0.815 In
0.257 0.257 0.191 Pb
0.499 0.499 0.505 K

---

# 5
K2InPb (PBE-GGA, optimized geometry); crystal system = orthorhombic; space-group type = Cmmm, No. 65
1.0
-3.203 -1.408 -0.561
1.335 -3.133 0.980
-2.882 2.196 10.943
Pb K In
1 2 1
Direct
0.500 0.500 0.250 Pb
0.000 0.000 0.003 K
0.000 0.000 0.497 K
0.500 0.500 0.750 In

---

# 6
KIn2Pb (PBE-GGA, optimized geometry); crystal system = monoclinic; space-group type = Pm, No. 6
1.0
-3.903 3.546 0.655
-1.242 -1.843 2.578
3.545 2.805 5.940
In K Pb
2 1 1
Direct
0.000 0.065 0.000 In
0.500 0.154 0.204 In
0.000 0.484 0.490 K
0.500 0.797 0.807 Pb

---

# 7
KIn2Pb (PBE-GGA, optimized geometry); crystal system = orthorhombic; space-group type = Cmmm, No. 65
1.0
-0.149 -4.866 -4.476
5.530 0.835 3.531
-1.136 -2.046 2.263
Pb In K
1 2 1
Direct
0.000 0.500 0.500 Pb
0.500 0.500 0.000 In
0.000 0.000 0.000 In
0.500 0.000 0.500 K

---

# 8
K2InPb (PBE-GGA, optimized geometry); crystal system = tetragonal; space-group type = I-4m2, No. 119
1.0
-2.412 -3.304 4.146
2.038 -4.820 -2.557
3.618 4.338 1.421
In K Pb
1 2 1
Direct
0.750 0.250 0.500 In
0.000 0.000 0.000 K
0.250 0.750 0.500 K
0.500 0.500 0.000 Pb

---

# 9
K3In4Pb4 (PBE-GGA, optimized geometry); crystal system = orthorhombic; space-group type = Immm, No. 71
1.0
-1.617 -4.371 -3.436
7.360 -1.974 -0.953
-3.379 -2.026 9.048
In Pb K
4 4 3
Direct
0.672 0.872 0.344 In
0.328 0.128 0.656 In
0.672 0.472 0.344 In
0.328 0.528 0.656 In
0.500 0.193 0.000 Pb
0.500 0.807 0.000 Pb
0.793 0.293 0.587 Pb
0.207 0.707 0.413 Pb
0.873 0.873 0.746 K
0.127 0.127 0.254 K
0.000 0.500 0.000 K

---

# 10
KIn6Pb12 (PBE-GGA, optimized geometry); crystal system = trigonal; space-group type = R-3, No. 148
1.0
1.032 8.513 1.545
5.285 -4.698 5.974
8.934 2.106 -1.194
In K Pb
6 1 12
Direct
0.954 0.313 0.477 In
0.046 0.687 0.523 In
0.359 0.790 0.687 In
0.431 0.477 0.210 In
0.569 0.523 0.790 In
0.641 0.210 0.313 In
0.000 0.000 0.000 K
0.840 0.949 0.429 Pb
0.792 0.284 0.879 Pb
0.329 0.121 0.162 Pb
0.109 0.379 0.051 Pb
0.160 0.051 0.571 Pb
0.208 0.716 0.121 Pb
0.671 0.879 0.838 Pb
0.891 0.621 0.949 Pb
0.270 0.429 0.621 Pb
0.730 0.571 0.379 Pb
0.509 0.838 0.284 Pb
0.491 0.162 0.716 Pb

---

# 11
KIn2Pb2 (PBE-GGA, optimized geometry); crystal system = tetragonal; space-group type = P4/mbm, No. 127
1.0
-9.174 -1.781 1.063
-0.483 -2.853 -8.950
0.791 -3.445 1.056
Pb K In
4 2 4
Direct
0.136 0.364 0.000 Pb
0.364 0.864 0.000 Pb
0.864 0.636 0.000 Pb
0.636 0.136 0.000 Pb
0.000 0.000 0.000 K
0.500 0.500 0.000 K
0.655 0.845 0.500 In
0.345 0.155 0.500 In
0.155 0.655 0.500 In
0.845 0.345 0.500 In

---

# 12
KIn2Pb (PBE-GGA, optimized geometry); crystal system = monoclinic; space-group type = P2/m, No. 10
1.0
5.358 0.000 0.000
0.000 3.438 -0.037
0.000 1.581 6.975
K In Pb
1 2 1
Direct
0.500 0.250 0.250 K
0.000 0.934 0.966 In
0.000 0.566 0.534 In
0.500 0.750 0.750 Pb

---

| no. | Fermi-level density of states (states/eV/cell) | raw total energy (eV/atom) |
| --- | --- | --- |
| 1 | 1.46 | -2.648 |
| 2 | 4.02 | -2.670 |
| 3 | 4.54 | -3.117 |
| 4 | 1.49 | -2.643 |
| 5 | 3.59 | -2.144 |
| 6 | 1.51 | -2.642 |
| 7 | 3.03 | -2.534 |
| 8 | 2.17 | -2.242 |
| 9 | 4.83 | -2.744 |
| 10 | 12.61 | -3.264 |
| 11 | 5.85 | -2.852 |
| 12 | 1.66 | -2.610 |